The following is a PBE-GGA calculation of a relaxed structure of YZn2AsBr, from Alexandria via LeMat-Bulk.

Cell and atoms, written as POSCAR:
```
YZn2AsBr
1.0
4.9702 0.0000 0.0000
0.0000 4.9702 0.0000
0.0000 0.0000 5.5450
Y Zn As Br
1 2 1 1
Direct
0.0000 0.0000 0.0000
0.0000 0.5000 0.5000
0.5000 0.0000 0.5000
0.0000 0.0000 0.5000
0.5000 0.5000 0.0000
```

Raw formation energy, eV/atom: -0.214

The following is a PBE-GGA calculation of a relaxed structure of ReHg2Te, from Alexandria via LeMat-Bulk.

Cell and atoms, written as POSCAR:
```
ReHg2Te
1.0
1.5156 0.8750 11.1936
-1.5156 0.8750 11.1936
0.0000 -1.7500 11.1936
Re Hg Te
1 2 1
Direct
0.0000 0.0000 0.0000
0.2635 0.2635 0.2635
0.7365 0.7365 0.7365
0.5000 0.5000 0.5000
```

ΔE to the lowest computed polymorph, eV/atom: 0.387
Raw formation energy, eV/atom: 0.792

The following is a PBE-GGA calculation of a relaxed structure of Ac5IrPd, from Alexandria via LeMat-Bulk.

Cell and atoms, written as POSCAR:
```
Ac5IrPd
1.0
6.7561 -3.7008 0.0000
6.7561 3.7008 0.0000
-3.1524 0.0000 10.8234
Ac Ir Pd
10 2 2
Direct
0.0018 0.6280 0.3483
0.1427 0.8572 0.7500
0.2208 0.5504 0.0079
0.3720 0.9982 0.1517
0.4496 0.7792 0.4921
0.5504 0.2208 0.5079
0.6280 0.0018 0.8483
0.7792 0.4496 0.9921
0.8572 0.1427 0.2500
0.9982 0.3720 0.6517
0.0000 0.0000 0.0000
0.0000 0.0000 0.5000
0.4471 0.5529 0.2500
0.5529 0.4471 0.7500
```

Formation energy, meV per atom: -336.9

The following is a PBE-GGA calculation of a relaxed structure of Sr11Hg9Rh4, from Alexandria via LeMat-Bulk.

Cell and atoms, written as POSCAR:
```
Sr11Hg9Rh4
1.0
7.4475 -11.1357 0.0000
7.4475 11.1357 0.0000
0.0000 0.0000 4.2424
Sr Hg Rh
11 9 4
Direct
0.0000 0.0000 0.0000
0.0830 0.4164 0.0000
0.1745 0.8255 0.0000
0.3081 0.3081 0.0000
0.3742 0.6258 0.0000
0.4164 0.0830 0.0000
0.5836 0.9170 0.0000
0.6258 0.3742 0.0000
0.6919 0.6919 0.0000
0.8255 0.1745 0.0000
0.9170 0.5836 0.0000
0.0809 0.2261 0.5000
0.1652 0.6210 0.5000
0.2261 0.0809 0.5000
0.3790 0.8348 0.5000
0.5000 0.5000 0.5000
0.6210 0.1652 0.5000
0.7739 0.9191 0.5000
0.8348 0.3790 0.5000
0.9191 0.7739 0.5000
0.2542 0.4492 0.5000
0.4492 0.2542 0.5000
0.5508 0.7458 0.5000
0.7458 0.5508 0.5000
```

Formation energy, meV per atom: -413.5

The following is a PBE-GGA calculation of a relaxed structure of CdCuTcOs2, from Alexandria via LeMat-Bulk.

Cell and atoms, written as POSCAR:
```
CdCuTcOs2
1.0
4.6420 0.0000 0.0000
0.0000 4.6420 0.0000
0.0000 0.0000 5.1314
Cd Cu Tc Os
1 1 1 2
Direct
0.0000 0.0000 0.0000
0.5000 0.5000 0.0000
0.0000 0.0000 0.5000
0.0000 0.5000 0.5000
0.5000 0.0000 0.5000
```

Formation energy, meV per atom: 1937.8

The following is a PBE-GGA calculation of a relaxed structure of Ba5Na2Hg2, from Alexandria via LeMat-Bulk.

Cell and atoms, written as POSCAR:
```
Ba5Na2Hg2
1.0
9.8155 -4.6968 0.0000
9.8155 4.6968 0.0000
0.0000 0.0000 9.4760
Ba Na Hg
10 4 4
Direct
0.0000 0.0000 0.0000
0.0564 0.7116 0.6736
0.2116 0.5564 0.1736
0.2884 0.9436 0.6736
0.4436 0.7884 0.1736
0.5000 0.5000 0.5000
0.5564 0.2116 0.8264
0.7116 0.0564 0.3264
0.7884 0.4436 0.8264
0.9436 0.2884 0.3264
0.2185 0.2185 0.0000
0.2815 0.2815 0.5000
0.7185 0.7185 0.5000
0.7815 0.7815 0.0000
0.1254 0.8746 0.3761
0.3746 0.6254 0.8761
0.6254 0.3746 0.1239
0.8746 0.1254 0.6239
```

Formation energy, meV per atom: -203.4

The following is a PBE-GGA calculation of a relaxed structure of PrSc3Fe, from Alexandria via LeMat-Bulk.

Cell and atoms, written as POSCAR:
```
PrSc3Fe
1.0
4.9659 0.0000 0.0000
0.0000 4.9659 0.0000
0.0000 0.0000 4.9659
Pr Sc Fe
1 3 1
Direct
0.0000 0.0000 0.0000
0.0000 0.5000 0.5000
0.5000 0.0000 0.5000
0.5000 0.5000 0.0000
0.5000 0.5000 0.5000
```

Formation energy, meV per atom: -15.2

The following is a PBE-GGA calculation of a relaxed structure of Tb2SmFe9, from Alexandria via LeMat-Bulk.

Cell and atoms, written as POSCAR:
```
Tb2SmFe9
1.0
2.5634 1.4800 8.1204
-2.5634 1.4800 8.1204
0.0000 -2.9599 8.1204
Tb Sm Fe
2 1 9
Direct
0.1420 0.1420 0.1420
0.8580 0.8580 0.8580
0.0000 0.0000 0.0000
0.0830 0.5810 0.5810
0.3327 0.3327 0.3327
0.4191 0.4191 0.9170
0.4191 0.9170 0.4191
0.5000 0.5000 0.5000
0.5810 0.0830 0.5810
0.5810 0.5809 0.0830
0.6673 0.6673 0.6673
0.9170 0.4191 0.4190
```

Formation energy, meV per atom: -36.2

Please write out number 5 again, unchanged.
The following is a PBE-GGA calculation of a relaxed structure of CdCuTcOs2, from Alexandria via LeMat-Bulk.

Cell and atoms, written as POSCAR:
```
CdCuTcOs2
1.0
4.6420 0.0000 0.0000
0.0000 4.6420 0.0000
0.0000 0.0000 5.1314
Cd Cu Tc Os
1 1 1 2
Direct
0.0000 0.0000 0.0000
0.5000 0.5000 0.0000
0.0000 0.0000 0.5000
0.0000 0.5000 0.5000
0.5000 0.0000 0.5000
```

Formation energy, meV per atom: 1937.8